Record 1
PBE-GGA CrAg3, optimized geometry; DFT formation energy = 277 meV/atom; N(E_F) = 1.6 states/eV/cell
1.0
-2.0802 2.0802 4.0541
2.0802 -2.0802 4.0541
2.0802 2.0802 -4.0541
Cr Ag
1 3
direct
0.0000 0.0000 0.0000
0.2500 0.7500 0.5000
0.5000 0.5000 0.0000
0.7500 0.2500 0.5000

Record 2
PBE-GGA CrAg, optimized geometry; DFT formation energy = 684 meV/atom; N(E_F) = 2.8 states/eV/cell
1.0
1.4685 -5.3497 0.0000
1.4685 5.3497 0.0000
0.0000 0.0000 4.5712
Cr Ag
2 2
direct
0.1656 0.8344 0.7500
0.8344 0.1656 0.2500
0.4226 0.5774 0.7500
0.5774 0.4226 0.2500